Below is crystalline BPd4 at its relaxed geometry, with properties calculated at the GGA-PBE level.

Results
ρ ... 10.05 g/cm3
Uncorrected energy ... -5.522 eV/atom
SG ... No. 221
E_form ... -32 meV per atom
Energy relative to the lowest polymorph listed for this composition ... 19.33 kJ/mol of atoms
Crystal system ... cubic

Geometry as POSCAR:
```
BPd4
1.0
4.1631 0.0000 0.0000
0.0000 4.1631 0.0000
0.0000 0.0000 4.1631
B Pd
1 4
Cartesian
0.0000 0.0000 0.0000
0.0000 0.0000 2.0816
0.0000 2.0816 0.0000
2.0816 0.0000 0.0000
2.0816 2.0816 2.0816
```

=====

Below is crystalline Ac3Sm5 at its relaxed geometry, with properties calculated at the GGA-PBE level.

Results
ρ ... 7.86 g/cm3
Uncorrected energy ... -4.448 eV/atom
SG ... No. 123
E_form ... 42 meV per atom
Crystal system ... tetragonal

Geometry as POSCAR:
```
Ac3Sm5
1.0
3.7887 0.0000 0.0000
0.0000 3.7887 0.0000
0.0000 0.0000 21.0996
Ac Sm
3 5
Cartesian
0.0000 0.0000 0.0000
1.8943 1.8943 2.9544
1.8943 1.8943 18.1452
0.0000 0.0000 5.6527
0.0000 0.0000 10.5498
0.0000 0.0000 15.4470
1.8943 1.8943 8.0998
1.8943 1.8943 12.9998
```

=====

Below is crystalline MgZr2Rh at its relaxed geometry, with properties calculated at the GGA-PBE level.

Results
ρ ... 6.47 g/cm3
Uncorrected energy ... -6.917 eV/atom
SG ... No. 99
E_form ... -406 meV per atom
Energy relative to the lowest polymorph listed for this composition ... 0.00 kJ/mol of atoms
Crystal system ... tetragonal

Geometry as POSCAR:
```
MgZr2Rh
1.0
3.2745 0.0000 0.0000
0.0000 3.2745 0.0000
0.0000 0.0000 7.4092
Mg Zr Rh
1 2 1
Cartesian
0.0000 0.0000 0.0000
0.0000 0.0000 3.1012
1.6373 1.6373 5.1893
1.6373 1.6373 1.5773
```